(1)
DFT (PBE) results for a relaxed structure of K4InBr6.

Cell and atoms, written as POSCAR:
```
K4InBr6
1.0
9.165 0.000 0.000
0.000 9.165 0.000
0.000 0.000 9.244
K In Br
8 2 12
Direct
0.171 0.329 0.250
0.171 0.329 0.750
0.329 0.829 0.250
0.329 0.829 0.750
0.671 0.171 0.250
0.671 0.171 0.750
0.829 0.671 0.250
0.829 0.671 0.750
0.000 0.000 0.000
0.500 0.500 0.500
0.000 0.000 0.308
0.000 0.000 0.692
0.101 0.686 0.000
0.186 0.601 0.500
0.314 0.101 0.000
0.399 0.186 0.500
0.500 0.500 0.192
0.500 0.500 0.808
0.601 0.814 0.500
0.686 0.899 0.000
0.814 0.399 0.500
0.899 0.314 0.000
```

Results
raw formation energy: -1.43 eV per atom
total moment: 0.0000 μB per atom

=====

(2)
DFT (PBE) results for a relaxed structure of K2InBr2.

Cell and atoms, written as POSCAR:
```
K2InBr2
1.0
-2.967 2.967 6.608
2.967 -2.967 6.608
2.967 2.967 -6.608
K In Br
2 1 2
Direct
0.164 0.164 0.000
0.836 0.836 0.000
0.500 0.500 0.000
0.250 0.750 0.500
0.750 0.250 0.500
```

Results
raw formation energy: -0.90 eV per atom
total moment: 0.1836 μB per atom

=====

(3)
DFT (PBE) results for a relaxed structure of KIn2Br.

Cell and atoms, written as POSCAR:
```
KIn2Br
1.0
-2.221 2.221 7.228
2.221 -2.221 7.228
2.221 2.221 -7.228
K In Br
1 2 1
Direct
0.000 0.000 0.000
0.250 0.750 0.500
0.750 0.250 0.500
0.500 0.500 0.000
```

Results
relative energy among the computed polymorphs: 11 meV per atom
raw formation energy: -0.55 eV per atom
total moment: 0.0000 μB per atom

=====

(4)
DFT (PBE) results for a relaxed structure of KInBr.

Cell and atoms, written as POSCAR:
```
KInBr
1.0
0.000 2.839 6.882
2.764 0.000 6.882
2.764 2.839 0.000
K In Br
1 1 1
Direct
0.000 0.000 0.000
0.698 0.698 0.302
0.392 0.392 0.608
```

Results
relative energy among the computed polymorphs: 0 meV per atom
raw formation energy: -0.65 eV per atom
total moment: 0.0000 μB per atom

=====

(5)
DFT (PBE) results for a relaxed structure of KInBr2.

Cell and atoms, written as POSCAR:
```
KInBr2
1.0
2.368 1.367 7.752
-2.368 1.367 7.752
0.000 -2.734 7.752
K In Br
1 1 2
Direct
0.000 0.000 0.000
0.500 0.500 0.500
0.251 0.251 0.251
0.749 0.749 0.749
```

Results
relative energy among the computed polymorphs: 13 meV per atom
raw formation energy: -1.19 eV per atom
total moment: 0.0000 μB per atom

=====

(6)
DFT (PBE) results for a relaxed structure of KIn2Br.

Cell and atoms, written as POSCAR:
```
KIn2Br
1.0
0.000 4.134 4.134
4.134 0.000 4.134
4.134 4.134 0.000
K In Br
1 2 1
Direct
0.000 0.000 0.000
0.250 0.250 0.250
0.750 0.750 0.750
0.500 0.500 0.500
```

Results
relative energy among the computed polymorphs: 488 meV per atom
raw formation energy: -0.08 eV per atom
total moment: 0.0000 μB per atom